Record 1
Below is LiRh2Cl after structural relaxation, with properties calculated at the GGA-PBE level.

Cell and atoms, written as POSCAR:
```
LiRh2Cl
1.0
2.848 0.000 0.000
0.000 4.295 0.000
0.000 0.000 5.050
Cl Li Rh
1 1 2
direct
0.500 0.500 0.250
0.500 0.500 0.750
0.000 0.000 0.997
0.000 0.000 0.503
```

Output
density of states at the Fermi level = 1.41 states/eV per atom
uncorrected formation energy = 30.8 kJ per mole of atoms

=====

Record 2
Below is LiRh2Cl after structural relaxation, with properties calculated at the GGA-PBE level.

Cell and atoms, written as POSCAR:
```
LiRh2Cl
1.0
7.203 -0.023 0.010
5.757 4.329 -0.010
-6.405 -2.380 2.281
Cl Li Rh
1 1 2
direct
0.750 0.250 0.500
0.250 0.750 0.500
0.962 0.962 0.000
0.538 0.538 0.000
```

Output
density of states at the Fermi level = 1.32 states/eV per atom
uncorrected formation energy = -11.4 kJ per mole of atoms

=====

Record 3
Below is LiRhCl after structural relaxation, with properties calculated at the GGA-PBE level.

Cell and atoms, written as POSCAR:
```
LiRhCl
1.0
-2.830 2.378 1.843
-4.011 -0.923 -0.340
-2.077 -1.423 3.274
Cl Li Rh
1 1 1
direct
0.000 0.000 0.000
0.500 0.500 0.500
0.250 0.250 0.250
```

Output
density of states at the Fermi level = 1.24 states/eV per atom
uncorrected formation energy = 8.4 kJ per mole of atoms

=====

Record 4
Below is LiRh2Cl after structural relaxation, with properties calculated at the GGA-PBE level.

Cell and atoms, written as POSCAR:
```
LiRh2Cl
1.0
3.174 0.000 0.000
0.000 3.140 -0.004
0.000 1.579 6.547
Cl Li Rh
1 1 2
direct
0.000 0.279 0.566
0.500 0.705 0.714
0.000 0.054 0.018
0.500 0.462 0.202
```

Output
density of states at the Fermi level = 1.00 states/eV per atom
uncorrected formation energy = -16.8 kJ per mole of atoms

=====

Record 5
Below is LiRhCl2 after structural relaxation, with properties calculated at the GGA-PBE level.

Cell and atoms, written as POSCAR:
```
LiRhCl2
1.0
0.000 3.240 3.240
3.240 0.000 3.240
3.240 3.240 0.000
Li Rh Cl
1 1 2
direct
0.000 0.000 0.000
0.500 0.500 0.500
0.250 0.250 0.250
0.750 0.750 0.750
```

Output
density of states at the Fermi level = 0.61 states/eV per atom
uncorrected formation energy = -37.1 kJ per mole of atoms

=====

Record 6
Below is LiRhCl2 after structural relaxation, with properties calculated at the GGA-PBE level.

Cell and atoms, written as POSCAR:
```
LiRhCl2
1.0
3.612 0.096 0.000
-1.998 3.010 0.000
0.000 0.000 6.874
Cl Li Rh
2 1 1
direct
0.000 0.000 0.006
0.000 0.000 0.494
0.500 0.500 0.250
0.500 0.500 0.750
```

Output
density of states at the Fermi level = 0.53 states/eV per atom
uncorrected formation energy = -50.7 kJ per mole of atoms

=====

Record 7
Below is LiRhCl2 after structural relaxation, with properties calculated at the GGA-PBE level.

Cell and atoms, written as POSCAR:
```
LiRhCl2
1.0
-2.615 -5.632 4.066
4.756 1.420 -2.954
2.671 1.532 1.427
Cl Li Rh
2 1 1
direct
0.000 0.000 0.000
0.500 0.000 0.500
0.000 0.500 0.500
0.500 0.500 0.000
```

Output
density of states at the Fermi level = 0.86 states/eV per atom
uncorrected formation energy = -57.0 kJ per mole of atoms

=====

Record 8
Below is LiRhCl2 after structural relaxation, with properties calculated at the GGA-PBE level.

Cell and atoms, written as POSCAR:
```
LiRhCl2
1.0
5.072 -0.029 0.004
-0.310 5.063 -0.004
-0.889 -3.928 3.083
Cl Li Rh
2 1 1
direct
0.020 0.020 0.000
0.480 0.480 0.000
0.750 0.250 0.500
0.250 0.750 0.500
```

Output
density of states at the Fermi level = 0.23 states/eV per atom
uncorrected formation energy = -53.6 kJ per mole of atoms

=====

Record 9
Below is LiRhCl2 after structural relaxation, with properties calculated at the GGA-PBE level.

Cell and atoms, written as POSCAR:
```
LiRhCl2
1.0
3.624 0.014 0.000
-0.014 3.624 0.000
0.000 0.000 5.109
Cl Li Rh
2 1 1
direct
0.000 0.000 0.875
0.500 0.500 0.375
0.000 0.000 0.375
0.500 0.500 0.875
```

Output
density of states at the Fermi level = 0.46 states/eV per atom
uncorrected formation energy = -64.9 kJ per mole of atoms

=====

Record 10
Below is LiRh2Cl after structural relaxation, with properties calculated at the GGA-PBE level.

Cell and atoms, written as POSCAR:
```
LiRh2Cl
1.0
-0.773 -2.709 -3.175
-0.815 -3.068 2.817
-2.919 0.801 0.027
Cl Li Rh
1 1 2
direct
0.500 0.000 0.500
0.000 0.500 0.500
0.000 0.000 0.000
0.500 0.500 0.000
```

Output
density of states at the Fermi level = 0.73 states/eV per atom
uncorrected formation energy = 25.3 kJ per mole of atoms

=====

Record 11
Below is LiRh2Cl after structural relaxation, with properties calculated at the GGA-PBE level.

Cell and atoms, written as POSCAR:
```
LiRh2Cl
1.0
-2.175 -3.346 1.570
-4.275 -0.117 -0.317
-1.877 -2.781 -2.671
Li Rh Cl
1 2 1
direct
0.000 0.000 0.000
0.250 0.250 0.250
0.750 0.750 0.750
0.500 0.500 0.500
```

Output
density of states at the Fermi level = 0.87 states/eV per atom
uncorrected formation energy = 42.8 kJ per mole of atoms

=====

Record 12
Below is Li2RhCl5 after structural relaxation, with properties calculated at the GGA-PBE level.

Cell and atoms, written as POSCAR:
```
Li2RhCl5
1.0
4.697 0.000 0.000
-2.348 6.369 0.000
0.000 0.000 12.068
Li Rh Cl
4 2 10
direct
0.848 0.696 0.442
0.848 0.696 0.058
0.152 0.304 0.558
0.152 0.304 0.942
0.815 0.630 0.750
0.185 0.370 0.250
0.945 0.889 0.886
0.945 0.889 0.614
0.313 0.625 0.399
0.313 0.625 0.101
0.725 0.450 0.250
0.275 0.550 0.750
0.687 0.375 0.601
0.687 0.375 0.899
0.055 0.111 0.114
0.055 0.111 0.386
```

Output
density of states at the Fermi level = 0.32 states/eV per atom
uncorrected formation energy = -108.7 kJ per mole of atoms

=====

Record 13
Below is LiRh3Cl after structural relaxation, with properties calculated at the GGA-PBE level.

Cell and atoms, written as POSCAR:
```
LiRh3Cl
1.0
-2.333 3.738 -0.061
-0.183 -0.186 -4.399
-3.734 -2.327 0.253
Li Rh Cl
1 3 1
direct
0.500 0.500 0.500
0.000 0.500 0.000
0.000 0.000 0.500
0.500 0.000 0.000
0.000 0.000 0.000
```

Output
density of states at the Fermi level = 1.51 states/eV per atom
uncorrected formation energy = 53.5 kJ per mole of atoms

=====

Record 14
Below is LiRhCl2 after structural relaxation, with properties calculated at the GGA-PBE level.

Cell and atoms, written as POSCAR:
```
LiRhCl2
1.0
-0.111 1.634 -3.003
-3.566 -5.702 -2.972
-3.004 1.419 0.883
Cl Li Rh
2 1 1
direct
0.000 0.000 0.000
0.500 0.500 0.000
0.500 0.000 0.500
0.000 0.500 0.500
```

Output
density of states at the Fermi level = 0.96 states/eV per atom
uncorrected formation energy = -52.5 kJ per mole of atoms

=====

The calculation returns the following spin magnetization values, one per record and in order: 1.42, 0.00, 0.00, 1.36, 2.00, 1.23, 0.37, 0.00, 0.01, 0.00, 0.00, 0.00, 0.29, 0.91 μB/f.u..